1.
## BiSb3Cl (PBE-GGA)

Data for an optimized crystal structure of BiSb3Cl.

The structure in POSCAR format:
```
BiSb3Cl
1.0
5.899 0.000 0.000
0.000 5.899 0.000
0.000 0.000 5.899
Sb Bi Cl
3 1 1
Cartesian
0.000 2.950 0.000
0.000 0.000 2.950
2.950 0.000 0.000
0.000 0.000 0.000
2.950 2.950 2.950
```

## Properties
Excess energy over the best structure of this formula in the dataset, meV per atom: 191
E_form (uncorrected), eV/atom: 0.848



2.
## La2Y5Tm2 (PBE-GGA)

Data for an optimized crystal structure of La2Y5Tm2.

The structure in POSCAR format:
```
La2Y5Tm2
1.0
-1.560 5.957 10.306
3.126 -4.953 3.336
5.792 2.968 -7.832
La Y Tm
4 10 4
Cartesian
0.133 -0.211 0.142
0.917 0.291 6.963
3.565 1.290 -0.230
4.343 1.812 6.626
6.928 0.594 -2.913
1.670 1.415 10.045
5.337 3.174 -4.401
0.134 3.788 8.198
1.204 2.868 1.727
5.510 2.124 3.396
2.702 0.642 3.828
4.012 4.350 1.295
4.896 -1.610 -1.528
1.839 6.570 6.673
3.410 -1.827 1.683
4.308 5.230 4.510
1.091 3.533 5.005
6.626 -0.130 1.189
```

## Properties
Excess energy over the best structure of this formula in the dataset, meV per atom: 197
Calculated formation energy, eV/atom: 0.227



3.
## LaAs2Pd (PBE-GGA)

Data for an optimized crystal structure of LaAs2Pd.

The structure in POSCAR format:
```
LaAs2Pd
1.0
-2.526 3.708 -1.189
-1.537 -3.065 -6.293
-8.501 -4.433 4.236
La As Pd
4 8 4
Cartesian
-8.274 -2.047 -2.398
-3.025 -2.214 -5.008
-4.291 -1.743 -0.848
-9.540 -1.576 1.762
-7.121 -0.399 0.294
-1.758 -0.338 -1.848
-5.444 -3.391 -3.541
-10.807 -3.453 -1.399
-5.652 -0.613 -3.495
-8.996 -5.395 -2.243
-6.913 -3.177 0.249
-3.569 1.605 -1.004
-6.689 -1.938 -5.422
-8.969 -4.597 0.187
-5.876 -1.853 2.176
-3.596 0.807 -3.434
```

## Properties
Calculated formation energy, eV/atom: -0.918



4.
## La6NdDy8 (PBE-GGA)

Data for an optimized crystal structure of La6NdDy8.

The structure in POSCAR format:
```
La6NdDy8
1.0
9.154 0.000 0.000
4.577 7.928 0.000
4.577 2.643 7.093
La Nd Dy
6 1 8
Cartesian
12.358 9.459 6.114
2.564 2.219 0.979
5.217 4.597 0.979
13.091 5.973 6.114
15.744 8.351 6.114
5.950 1.111 0.979
0.000 0.000 0.000
6.192 3.868 4.121
8.901 2.011 2.972
6.446 7.141 2.972
9.154 5.285 1.915
9.154 5.285 5.177
11.862 3.429 4.121
9.408 8.559 4.121
12.116 6.702 2.972
```

## Properties
Calculated formation energy, eV/atom: 0.116



5.
## Ca2SmSi3Au12 (PBE-GGA)

Data for an optimized crystal structure of Ca2SmSi3Au12.

The structure in POSCAR format:
```
Ca2SmSi3Au12
1.0
7.844 -0.605 -0.429
3.348 7.119 -0.429
3.348 1.949 6.861
Ca Sm Si Au
2 1 3 12
Cartesian
8.617 5.016 3.558
5.922 3.447 2.445
0.000 0.000 0.000
3.922 -0.302 -0.215
1.674 3.560 -0.215
1.674 0.974 3.430
6.245 3.635 5.569
10.779 6.274 2.050
8.809 7.393 5.244
8.699 2.241 1.590
10.779 4.009 5.244
6.245 6.457 1.590
8.294 4.828 0.434
3.760 2.188 3.952
5.729 1.070 0.759
5.840 6.221 4.413
3.760 4.453 0.759
8.294 2.005 4.413
```

## Properties
E_form (uncorrected), eV/atom: -0.199



6.
## ReAs2Pt (PBE-GGA)

Data for an optimized crystal structure of ReAs2Pt.

The structure in POSCAR format:
```
ReAs2Pt
1.0
4.411 0.014 -0.004
3.335 2.887 -0.004
0.807 0.302 5.077
Re As Pt
1 2 1
Cartesian
2.138 0.801 1.267
7.629 2.857 0.113
4.393 1.645 2.414
6.415 2.402 3.802
```

## Properties
Excess energy over the best structure of this formula in the dataset, meV per atom: 78
Calculated formation energy, eV/atom: 0.171



Computed calculated total energy (eV/atom) in order:
-2.7707 -5.4526 -5.7727 -4.6277 -3.7720 -6.7755
Computed volume (A^3/atom) in order:
41.06 33.73 21.79 34.31 22.88 16.10